Cs2ScMn: relaxed, PBE-GGA.

Unit cell a=6.4734 b=6.4734 c=6.4734 alpha=60.00 beta=60.00 gamma=60.00
Last column: magnetic moment on the atom in μB.
Fractional coordinates of all 4 atoms:
Cs 0.2500 0.2500 0.2500  -0.04
Cs 0.7500 0.7500 0.7500  -0.04
Sc 0.0000 0.0000 0.0000  -1.00
Mn 0.5000 0.5000 0.5000  4.24

Summary:
- ΔH_f (0 K): 1.22 eV/atom

=====

PmHo3Pu2Te6: relaxed, PBE-GGA.

Unit cell a=4.3660 b=8.8194 c=9.8325 alpha=103.43 beta=102.83 gamma=90.00
Last column: magnetic moment on the atom in μB.
Fractional coordinates of all 12 atoms:
Pm 0.5000 0.0000 0.0000  0.04
Ho 0.5000 0.5000 0.0000  0.04
Ho 0.8345 0.1661 0.6690  0.01
Ho 0.1655 0.8339 0.3310  0.01
Pu 0.8340 0.6674 0.6681  5.59
Pu 0.1660 0.3326 0.3319  5.59
Te 0.3306 0.9195 0.6612  -0.03
Te 0.6655 0.5872 0.3309  -0.04
Te 0.6694 0.0805 0.3388  -0.03
Te 0.9986 0.2566 0.9972  -0.01
Te 0.0014 0.7434 0.0028  -0.01
Te 0.3345 0.4128 0.6691  -0.04

Summary:
- Formation energy (no corrections): -15.0 eV per formula unit

=====

KRbBe2: relaxed, PBE-GGA.

Unit cell a=4.2138 b=5.2109 c=8.5954 alpha=104.79 beta=91.55 gamma=114.15
Fractional coordinates of all 4 atoms:
Be 0.0504 0.3793 0.3209
Be 0.5812 0.4408 0.3207
K 0.2398 0.7851 0.0847
Rb 0.4021 0.0508 0.5874

Summary:
- Energy above the most stable polymorph in this dataset: 0.272 eV/atom
- ΔH_f (0 K): 0.74 eV/atom

=====

BaI2Br6: relaxed, PBE-GGA.

Unit cell a=8.8977 b=11.0724 c=11.0724 alpha=64.03 beta=70.37 gamma=70.37
Fractional coordinates of all 18 atoms:
Ba 0.2500 0.9868 0.0132
Ba 0.7500 0.0132 0.9868
I 0.3267 0.4902 0.7942
I 0.1733 0.2058 0.5098
I 0.6733 0.5098 0.2058
I 0.8267 0.7942 0.4902
Br 0.5755 0.6518 0.6320
Br 0.9245 0.3680 0.3482
Br 0.4245 0.3482 0.3680
Br 0.0755 0.6320 0.6518
Br 0.8717 0.0190 0.2536
Br 0.6283 0.7464 0.9810
Br 0.1283 0.9810 0.7464
Br 0.3717 0.2536 0.0190
Br 0.0690 0.7649 0.0402
Br 0.4310 0.9598 0.2351
Br 0.9310 0.2351 0.9598
Br 0.5690 0.0402 0.7649

Summary:
- Formation energy (no corrections): -5.8 eV per formula unit

=====

PaAl2Hg: relaxed, PBE-GGA.

Unit cell a=4.2100 b=4.5050 c=4.5050 alpha=90.00 beta=90.00 gamma=90.00
Fractional coordinates of all 4 atoms:
Pa 0.5000 0.5000 0.5000
Hg 0.5000 0.0000 0.0000
Al 0.0000 0.0000 0.5000
Al 0.0000 0.5000 0.0000

Summary:
- Energy above the most stable polymorph in this dataset: 0.000 eV/atom
- ΔH_f (0 K): -0.09 eV/atom

=====

Y2SCl: relaxed, PBE-GGA.

Unit cell a=3.8055 b=3.8055 c=7.5735 alpha=75.45 beta=75.45 gamma=60.00
Fractional coordinates of all 4 atoms:
Y 0.2643 0.2643 0.2071
Y 0.7357 0.7357 0.7929
S 0.0000 0.0000 0.0000
Cl 0.5000 0.5000 0.5000

Summary:
- Energy above the most stable polymorph in this dataset: 0.000 eV/atom
- Formation energy (no corrections): -6.4 eV per formula unit

=====

NbPdI: relaxed, PBE-GGA.

Unit cell a=3.3706 b=3.3504 c=6.0632 alpha=90.00 beta=90.00 gamma=90.00
Fractional coordinates of all 3 atoms:
Nb 0.0000 0.5000 0.9417
Pd 0.5000 0.0000 0.1793
I 0.0000 0.0000 0.5788

Summary:
- Energy above the most stable polymorph in this dataset: 0.320 eV/atom
- Formation energy (no corrections): 0.7 eV per formula unit

=====

Tb2Sm9Y: relaxed, PBE-GGA.

Unit cell a=5.1083 b=5.1083 c=15.3208 alpha=90.00 beta=90.00 gamma=90.00
Fractional coordinates of all 12 atoms:
Tb 0.0000 0.0000 0.3333
Tb 0.0000 0.0000 0.6667
Sm 0.5000 0.5000 0.0000
Sm 0.5000 0.5000 0.3335
Sm 0.5000 0.5000 0.6665
Sm 0.5000 0.0000 0.1672
Sm 0.5000 0.0000 0.5000
Sm 0.5000 0.0000 0.8328
Sm 0.0000 0.5000 0.1672
Sm 0.0000 0.5000 0.5000
Sm 0.0000 0.5000 0.8328
Y 0.0000 0.0000 0.0000

Summary:
- ΔH_f (0 K): 0.02 eV/atom

=====

CuPSe: relaxed, PBE-GGA.

Unit cell a=3.5759 b=3.5759 c=4.4737 alpha=90.00 beta=90.00 gamma=120.00
Fractional coordinates of all 3 atoms:
Cu 0.0000 0.0000 0.0206
P 0.6667 0.3333 0.2914
Se 0.3333 0.6667 0.6881

Summary:
- Formation energy (no corrections): 0.5 eV per formula unit

=====

BaHf3Mo: relaxed, PBE-GGA.

Unit cell a=5.1349 b=5.1349 c=5.1349 alpha=90.00 beta=90.00 gamma=90.00
Fractional coordinates of all 5 atoms:
Mo 0.5000 0.5000 0.5000
Hf 0.0000 0.5000 0.0000
Hf 0.0000 0.0000 0.5000
Hf 0.5000 0.0000 0.0000
Ba 0.0000 0.0000 0.0000

Summary:
- Energy above the most stable polymorph in this dataset: 1.903 eV/atom
- ΔH_f (0 K): 2.53 eV/atom

=====

ZnRhBr2: relaxed, PBE-GGA.

Unit cell a=3.7524 b=3.7524 c=7.9950 alpha=90.00 beta=90.00 gamma=122.58
Last column: magnetic moment on the atom in μB.
Fractional coordinates of all 4 atoms:
Br 0.0000 0.0000 0.0290  0.00
Br 0.0000 0.0000 0.4710  0.00
Rh 0.5000 0.5000 0.2500  0.38
Zn 0.5000 0.5000 0.7500  -0.01

Summary:
- Energy above the most stable polymorph in this dataset: 0.408 eV/atom
- Formation energy (no corrections): 0.8 eV per formula unit

=====

AgTe2IN: relaxed, PBE-GGA.

Unit cell a=5.4424 b=5.4424 c=5.4580 alpha=90.00 beta=90.00 gamma=90.00
Fractional coordinates of all 5 atoms:
I 0.0000 0.0000 0.5000
Te 0.0000 0.5000 0.0000
Te 0.5000 0.0000 0.0000
Ag 0.0000 0.0000 0.0000
N 0.5000 0.5000 0.5000

Summary:
- Energy above the most stable polymorph in this dataset: 0.911 eV/atom
- Formation energy (no corrections): 8.9 eV per formula unit

=====

no.,density of states at the Fermi level (states/eV per cell),raw total energy (eV/atom)
1,3.5,-3.09
2,22.8,-6.75
3,3.0,-1.64
4,7.1,-2.32
5,4.1,-4.41
6,1.1,-6.32
7,3.4,-5.37
8,19.6,-4.83
9,1.8,-4.16
10,7.4,-5.99
11,2.2,-2.79
12,11.0,-2.01